Record 1
## BaCaAcDy (PBE-GGA)

Data for a geometry-optimized BaCaAcDy structure.

Calculated values
The calculation puts the volume at 171.6 Å³/cell. For the total energy, the calculation gives -2.98 eV/atom. For the calculated formation energy, the calculation gives 180.6 meV/atom.

Cell: 6.2377 6.2377 6.2377 Å, 60.00 60.00 60.00°
Sites, in units of the cell vectors:
Ba (0.0000, 0.0000, 0.0000)
Ca (0.2500, 0.2500, 0.2500)
Ac (0.7500, 0.7500, 0.7500)
Dy (0.5000, 0.5000, 0.5000)



Record 2
## BaCaAcEr (PBE-GGA)

Data for a geometry-optimized BaCaAcEr structure.

Calculated values
The calculation puts the volume at 170.4 Å³/cell. For the total energy, the calculation gives -2.96 eV/atom. For the calculated formation energy, the calculation gives 188.1 meV/atom.

Cell: 6.2230 6.2230 6.2230 Å, 60.00 60.00 60.00°
Sites, in units of the cell vectors:
Ba (0.0000, 0.0000, 0.0000)
Ca (0.2500, 0.2500, 0.2500)
Ac (0.7500, 0.7500, 0.7500)
Er (0.5000, 0.5000, 0.5000)



Record 3
## BaCaAcGd (PBE-GGA)

Data for a geometry-optimized BaCaAcGd structure.

Calculated values
The calculation puts the volume at 174.4 Å³/cell. For the total energy, the calculation gives -5.37 eV/atom. For the calculated formation energy, the calculation gives 161.7 meV/atom.

Cell: 6.2710 6.2710 6.2710 Å, 60.00 60.00 60.00°
Sites, in units of the cell vectors:
Ba (0.0000, 0.0000, 0.0000)
Ca (0.7500, 0.7500, 0.7500)
Ac (0.2500, 0.2500, 0.2500)
Gd (0.5000, 0.5000, 0.5000)



Record 4
## BaCaAc2Hg4 (PBE-GGA)

Data for a geometry-optimized BaCaAc2Hg4 structure.

Calculated values
The calculation puts the volume at 260.6 Å³/cell. For the total energy, the calculation gives -2.18 eV/atom. For the calculated formation energy, the calculation gives -509.0 meV/atom.

Cell: 9.8874 9.8874 9.8874 Å, 33.38 33.38 33.38°
Sites, in units of the cell vectors:
Ba (0.0000, 0.0000, 0.0000)
Ca (0.5000, 0.5000, 0.5000)
Ac (0.2471, 0.2471, 0.2471)
Ac (0.7529, 0.7529, 0.7529)
Hg (0.1272, 0.1272, 0.1272)
Hg (0.3794, 0.3794, 0.3794)
Hg (0.6206, 0.6206, 0.6206)
Hg (0.8728, 0.8728, 0.8728)